Computed, not measured: Co5C3 after structural relaxation at the PBE level of DFT.

a = 5.778 Å, b = 8.121 Å, c = 2.981 Å
α = 90.00°, β = 90.00°, γ = 90.00°
Space group Cmmm (No. 65)
Symmetry-distinct sites (fractional):
1 Co 0.000 0.000 0.000 x2
2 Co 0.197 0.500 0.500 x4
3 Co 0.250 0.250 0.000 x4
4 C 0.000 0.159 0.500 x4
5 C 0.000 0.500 0.000 x2

Properties
density: 7.851 g cm⁻³
ΔE_f: 0.652 eV/atom
energy relative to the lowest polymorph listed for this composition: 224 meV per atom